# 1
Computed, not measured: crystalline Ti2ReNiH at its relaxed geometry at the PBE-GGA level of DFT.

Cell lengths 4.2618, 4.2618, 3.2802 Å; angles 90.00, 90.00, 90.00 degrees
Last column: nearest neighbours and their distance in Å.
Atoms (fractional coordinates):
H (0.0000, 0.0000, 0.0000)  2 Ni 1.64
Ti (0.0000, 0.5000, 0.0000)  2 H 2.13
Ti (0.5000, 0.0000, 0.0000)  2 H 2.13
Re (0.5000, 0.5000, 0.5000)  8 Ti 2.69
Ni (0.0000, 0.0000, 0.5000)  2 H 1.64

Computed properties:
The symmetry is P4/mmm. The total energy comes out at -39.35 eV per cell. The density of states at the Fermi level comes out at 3.42 states/eV/cell.

***

# 2
Computed, not measured: crystalline TaAgPb2 at its relaxed geometry at the PBE-GGA level of DFT.

Cell lengths 3.1790, 4.7067, 6.1234 Å; angles 90.00, 90.00, 90.00 degrees
Last column: nearest neighbours and their distance in Å.
Atoms (fractional coordinates):
Pb (0.0000, 0.0000, 0.9618)  2 Ta 2.93-3.19, 4 Ag 3.10, 2 Pb 3.18
Pb (0.5000, 0.5000, 0.2977)  1 Ag 2.82, 4 Ta 3.06
Ta (0.0000, 0.0000, 0.4826)  6 Pb 2.93-3.19, 2 Ta 3.18
Ag (0.5000, 0.5000, 0.7578)  5 Pb 2.82-3.10

Computed properties:
The symmetry is Pmm2. The total energy comes out at -20.13 eV per cell. The density of states at the Fermi level comes out at 2.26 states/eV/cell.

***

# 3
Computed, not measured: crystalline IrRhO2 at its relaxed geometry at the PBE-GGA level of DFT.

Cell lengths 3.9455, 3.9455, 3.9455 Å; angles 60.00, 60.00, 60.00 degrees
Last column: nearest neighbours and their distance in Å.
Atoms (fractional coordinates):
O (0.2500, 0.2500, 0.2500)  4 Ir 2.42, 4 Rh 2.42
O (0.7500, 0.7500, 0.7500)  4 Ir 2.42, 4 Rh 2.42
Rh (0.0000, 0.0000, 0.0000)  8 O 2.42
Ir (0.5000, 0.5000, 0.5000)  8 O 2.42

Computed properties:
The symmetry is Fm-3m. The total energy comes out at -23.34 eV per cell. The density of states at the Fermi level comes out at 4.84 states/eV/cell. For the raw formation energy, the calculation gives 698 meV/atom.

***

# 4
Computed, not measured: crystalline Pu2NpSb3 at its relaxed geometry at the PBE-GGA level of DFT.

Cell lengths 6.2423, 8.8198, 7.6523 Å; angles 106.75, 114.07, 90.00 degrees
Last column: nearest neighbours and their distance in Å.
Atoms (fractional coordinates):
Sb (0.8346, 0.9174, 0.6697)  2 Np 3.11, 4 Pu 3.12-3.13
Sb (0.4993, 0.7500, 0.0000)  2 Np 3.12, 4 Pu 3.13
Sb (0.8352, 0.4174, 0.6697)  2 Np 3.11, 4 Pu 3.12-3.13
Sb (0.1648, 0.5826, 0.3303)  2 Np 3.11, 4 Pu 3.12-3.13
Sb (0.1654, 0.0826, 0.3303)  2 Np 3.11, 4 Pu 3.12-3.13
Sb (0.5007, 0.2500, 0.0000)  2 Np 3.12, 4 Pu 3.13
Pu (0.3325, 0.9164, 0.6656)  6 Sb 3.12-3.13
Pu (0.6669, 0.5836, 0.3344)  6 Sb 3.12-3.13
Pu (0.6675, 0.0836, 0.3344)  6 Sb 3.12-3.13
Pu (0.3331, 0.4164, 0.6656)  6 Sb 3.12-3.13
Np (0.9993, 0.7500, 0.0000)  6 Sb 3.11-3.12
Np (0.0007, 0.2500, 0.0000)  6 Sb 3.11-3.12

Computed properties:
The symmetry is C2/c. The total energy comes out at -113.46 eV per cell. The density of states at the Fermi level comes out at 67.87 states/eV/cell. For the raw formation energy, the calculation gives -460 meV/atom.